Record 1
# CeAl2SnPd4

An optimized crystal structure of CeAl2SnPd4 (GGA-PBE, Alexandria).

a b c (Å): 9.551 9.551 9.551
angles (deg): 26.19 26.19 26.19
Atoms (fractional coordinates):
1 Ce 0.000 0.000 0.000
2 Al 0.247 0.247 0.247
3 Al 0.753 0.753 0.753
4 Sn 0.500 0.500 0.500
5 Pd 0.120 0.120 0.120
6 Pd 0.398 0.398 0.398
7 Pd 0.602 0.602 0.602
8 Pd 0.880 0.880 0.880

## Properties
For the energy relative to the elements, the calculation gives -668.1 meV per atom. Its density is 8.2 g/cm3. As for the magnetization: 0.84 μB per formula unit. As for the space-group type: R-3m, No. 166.


Record 2
# ZnCd2Br

An optimized crystal structure of ZnCd2Br (GGA-PBE, Alexandria).

a b c (Å): 6.055 8.732 4.090
angles (deg): 90.00 109.77 90.00
Atoms (fractional coordinates):
1 Zn 0.000 0.000 0.000
2 Zn 0.500 0.500 0.000
3 Cd 0.250 0.250 0.500
4 Cd 0.250 0.750 0.500
5 Cd 0.750 0.250 0.500
6 Cd 0.750 0.750 0.500
7 Br 0.000 0.500 0.000
8 Br 0.500 0.000 0.000

## Properties
The formation energy (no corrections) comes out at -0.011 eV/atom. Its density is 6.0 g/cm3. As for the magnetization: 0.00 μB per formula unit. As for the space-group type: C2/m, No. 12.


Record 3
# Er2ZnCo2Ni5

An optimized crystal structure of Er2ZnCo2Ni5 (GGA-PBE, Alexandria).

a b c (Å): 8.659 8.659 3.768
angles (deg): 90.00 90.00 90.00
Atoms (fractional coordinates):
1 Er 0.179 0.321 0.000
2 Er 0.321 0.821 0.000
3 Er 0.679 0.179 0.000
4 Er 0.821 0.679 0.000
5 Zn 0.000 0.000 0.000
6 Zn 0.500 0.500 0.000
7 Co 0.118 0.618 0.000
8 Co 0.382 0.118 0.000
9 Co 0.618 0.882 0.000
10 Co 0.882 0.382 0.000
11 Ni 0.000 0.500 0.500
12 Ni 0.062 0.793 0.500
13 Ni 0.207 0.062 0.500
14 Ni 0.293 0.562 0.500
15 Ni 0.438 0.293 0.500
16 Ni 0.500 0.000 0.500
17 Ni 0.562 0.707 0.500
18 Ni 0.707 0.438 0.500
19 Ni 0.793 0.938 0.500
20 Ni 0.938 0.207 0.500

## Properties
For the energy relative to the elements, the calculation gives -205.6 meV per atom. Its density is 9.5 g/cm3. As for the magnetization: 2.80 μB per formula unit. As for the space-group type: P4/mbm, No. 127.


Record 4
# TaTcN2F

An optimized crystal structure of TaTcN2F (GGA-PBE, Alexandria).

a b c (Å): 4.094 4.094 4.006
angles (deg): 90.00 90.00 90.00
Atoms (fractional coordinates):
1 Ta 0.000 0.000 0.000
2 Tc 0.500 0.500 0.500
3 N 0.000 0.500 0.000
4 N 0.500 0.000 0.000
5 F 0.000 0.000 0.500

## Properties
The formation energy (no corrections) comes out at -0.037 eV/atom. Its density is 8.1 g/cm3. As for the magnetization: 4.39 μB per formula unit. As for the space-group type: P4/mmm, No. 123.